Entry 1:
Below is DyMnMo2C4 after structural relaxation, with properties calculated at the PBE-GGA level.

Cell lengths 5.651, 5.651, 10.603 Å; angles 90.00, 90.00, 147.17 degrees
Element x y z (fractional)
Dy (0.104, 0.896, 0.750)
Dy (0.896, 0.104, 0.250)
Mn (0.161, 0.839, 0.250)
Mn (0.839, 0.161, 0.750)
Mo (0.373, 0.627, 0.539)
Mo (0.373, 0.627, 0.961)
Mo (0.627, 0.373, 0.039)
Mo (0.627, 0.373, 0.461)
C (0.000, 0.000, 0.000)
C (0.000, 0.000, 0.500)
C (0.266, 0.734, 0.116)
C (0.266, 0.734, 0.384)
C (0.428, 0.572, 0.750)
C (0.572, 0.428, 0.250)
C (0.734, 0.266, 0.616)
C (0.734, 0.266, 0.884)

Output
DFT formation energy = -5 kJ per mole of atoms
space group = Cmcm
total moment = 0.000 μB per formula unit
total energy = -145.5 eV/cell

=====

Entry 2:
Below is DyMnNb2C4 after structural relaxation, with properties calculated at the PBE-GGA level.

Cell lengths 5.771, 5.771, 10.899 Å; angles 90.00, 90.00, 147.60 degrees
Element x y z (fractional)
Dy (0.100, 0.900, 0.750)
Dy (0.900, 0.100, 0.250)
Mn (0.165, 0.835, 0.250)
Mn (0.835, 0.165, 0.750)
Nb (0.370, 0.630, 0.541)
Nb (0.370, 0.630, 0.959)
Nb (0.630, 0.370, 0.041)
Nb (0.630, 0.370, 0.459)
C (0.000, 0.000, 0.000)
C (0.000, 0.000, 0.500)
C (0.265, 0.735, 0.119)
C (0.265, 0.735, 0.381)
C (0.425, 0.575, 0.750)
C (0.575, 0.425, 0.250)
C (0.735, 0.265, 0.619)
C (0.735, 0.265, 0.881)

Output
DFT formation energy = -30 kJ per mole of atoms
space group = Cmcm
total moment = 0.000 μB per formula unit
total energy = -146.5 eV/cell

=====

Entry 3:
Below is DyNpMnC3 after structural relaxation, with properties calculated at the PBE-GGA level.

Cell lengths 7.110, 3.462, 7.259 Å; angles 90.00, 94.26, 90.00 degrees
Element x y z (fractional)
Dy (0.153, 0.250, 0.179)
Dy (0.847, 0.750, 0.821)
Np (0.366, 0.750, 0.819)
Np (0.634, 0.250, 0.181)
Mn (0.093, 0.250, 0.588)
Mn (0.907, 0.750, 0.412)
C (0.131, 0.250, 0.841)
C (0.161, 0.750, 0.513)
C (0.413, 0.750, 0.128)
C (0.587, 0.250, 0.872)
C (0.839, 0.250, 0.487)
C (0.869, 0.750, 0.159)

Output
DFT formation energy = 5 kJ per mole of atoms
space group = P2_1/m
total moment = 2.193 μB per formula unit
total energy = -108.1 eV/cell

=====

Entry 4:
Below is DyPu2MnC4 after structural relaxation, with properties calculated at the PBE-GGA level.

Cell lengths 5.859, 5.859, 11.971 Å; angles 90.00, 90.00, 145.40 degrees
Element x y z (fractional)
Dy (0.105, 0.895, 0.750)
Dy (0.895, 0.105, 0.250)
Pu (0.368, 0.632, 0.545)
Pu (0.368, 0.632, 0.955)
Pu (0.632, 0.368, 0.045)
Pu (0.632, 0.368, 0.455)
Mn (0.165, 0.835, 0.250)
Mn (0.835, 0.165, 0.750)
C (0.000, 0.000, 0.000)
C (0.000, 0.000, 0.500)
C (0.264, 0.736, 0.131)
C (0.264, 0.736, 0.369)
C (0.418, 0.582, 0.750)
C (0.582, 0.418, 0.250)
C (0.736, 0.264, 0.631)
C (0.736, 0.264, 0.869)

Output
DFT formation energy = 3 kJ per mole of atoms
space group = Cmcm
total moment = 9.868 μB per formula unit
total energy = -158.1 eV/cell

=====

Entry 5:
Below is DyMn2Si2C after structural relaxation, with properties calculated at the PBE-GGA level.

Cell lengths 3.885, 3.885, 5.200 Å; angles 90.00, 90.00, 90.00 degrees
Element x y z (fractional)
Dy (0.000, 0.000, 0.000)
Mn (0.000, 0.500, 0.500)
Mn (0.500, 0.000, 0.500)
Si (0.500, 0.500, 0.229)
Si (0.500, 0.500, 0.771)
C (0.000, 0.000, 0.500)

Output
raw formation energy = -496 meV per atom
space group = P4/mmm
total moment = 0.481 μB per formula unit
total energy = -46.0 eV/cell

=====

Entry 6:
Below is DyMn2SiC after structural relaxation, with properties calculated at the PBE-GGA level.

Cell lengths 5.594, 5.594, 6.991 Å; angles 90.00, 90.00, 141.24 degrees
Element x y z (fractional)
Dy (0.044, 0.956, 0.750)
Dy (0.956, 0.044, 0.250)
Mn (0.332, 0.668, 0.562)
Mn (0.332, 0.668, 0.938)
Mn (0.668, 0.332, 0.062)
Mn (0.668, 0.332, 0.438)
Si (0.235, 0.765, 0.250)
Si (0.765, 0.235, 0.750)
C (0.500, 0.500, 0.000)
C (0.500, 0.500, 0.500)

Output
raw formation energy = -509 meV per atom
space group = Cmcm
total moment = 2.510 μB per formula unit
total energy = -80.3 eV/cell

=====

Entry 7:
Below is DyTa2MnC4 after structural relaxation, with properties calculated at the PBE-GGA level.

Cell lengths 5.741, 5.741, 10.873 Å; angles 90.00, 90.00, 147.50 degrees
Element x y z (fractional)
Dy (0.101, 0.899, 0.750)
Dy (0.899, 0.101, 0.250)
Ta (0.370, 0.630, 0.543)
Ta (0.370, 0.630, 0.957)
Ta (0.630, 0.370, 0.043)
Ta (0.630, 0.370, 0.457)
Mn (0.164, 0.836, 0.250)
Mn (0.836, 0.164, 0.750)
C (0.000, 0.000, 0.000)
C (0.000, 0.000, 0.500)
C (0.265, 0.735, 0.117)
C (0.265, 0.735, 0.383)
C (0.426, 0.574, 0.750)
C (0.574, 0.426, 0.250)
C (0.735, 0.265, 0.617)
C (0.735, 0.265, 0.883)

Output
DFT formation energy = -36 kJ per mole of atoms
space group = Cmcm
total moment = 0.001 μB per formula unit
total energy = -154.7 eV/cell

=====

Entry 8:
Below is DyMnTcC3 after structural relaxation, with properties calculated at the PBE-GGA level.

Cell lengths 6.450, 3.287, 7.357 Å; angles 90.00, 104.66, 90.00 degrees
Element x y z (fractional)
Dy (0.188, 0.250, 0.208)
Dy (0.812, 0.750, 0.792)
Mn (0.119, 0.250, 0.606)
Mn (0.881, 0.750, 0.394)
Tc (0.346, 0.750, 0.881)
Tc (0.654, 0.250, 0.119)
C (0.117, 0.250, 0.855)
C (0.181, 0.750, 0.518)
C (0.455, 0.750, 0.164)
C (0.545, 0.250, 0.836)
C (0.819, 0.250, 0.482)
C (0.883, 0.750, 0.145)

Output
DFT formation energy = 11 kJ per mole of atoms
space group = P2_1/m
total moment = 0.337 μB per formula unit
total energy = -102.3 eV/cell

=====

Entry 9:
Below is DyU2MnC4 after structural relaxation, with properties calculated at the PBE-GGA level.

Cell lengths 5.832, 5.832, 11.594 Å; angles 90.00, 90.00, 144.92 degrees
Element x y z (fractional)
Dy (0.109, 0.891, 0.750)
Dy (0.891, 0.109, 0.250)
U (0.369, 0.631, 0.549)
U (0.369, 0.631, 0.951)
U (0.631, 0.369, 0.049)
U (0.631, 0.369, 0.451)
Mn (0.155, 0.845, 0.250)
Mn (0.845, 0.155, 0.750)
C (0.000, 0.000, 0.000)
C (0.000, 0.000, 0.500)
C (0.260, 0.740, 0.125)
C (0.260, 0.740, 0.375)
C (0.426, 0.574, 0.750)
C (0.574, 0.426, 0.250)
C (0.740, 0.260, 0.625)
C (0.740, 0.260, 0.875)

Output
DFT formation energy = -9 kJ per mole of atoms
space group = Cmcm
total moment = 0.000 μB per formula unit
total energy = -148.0 eV/cell

=====

Entry 10:
Below is DyUMnC3 after structural relaxation, with properties calculated at the PBE-GGA level.

Cell lengths 7.053, 3.492, 7.296 Å; angles 90.00, 93.91, 90.00 degrees
Element x y z (fractional)
Dy (0.147, 0.250, 0.177)
Dy (0.853, 0.750, 0.823)
U (0.365, 0.750, 0.820)
U (0.635, 0.250, 0.180)
Mn (0.094, 0.250, 0.584)
Mn (0.906, 0.750, 0.416)
C (0.137, 0.250, 0.843)
C (0.160, 0.750, 0.517)
C (0.415, 0.750, 0.129)
C (0.585, 0.250, 0.871)
C (0.840, 0.250, 0.483)
C (0.863, 0.750, 0.157)

Output
DFT formation energy = -8 kJ per mole of atoms
space group = P2_1/m
total moment = 0.000 μB per formula unit
total energy = -106.4 eV/cell

=====

Entry 11:
Below is DyMnZnC after structural relaxation, with properties calculated at the PBE-GGA level.

Cell lengths 3.405, 3.405, 10.425 Å; angles 90.00, 90.00, 90.00 degrees
Element x y z (fractional)
Dy (0.250, 0.250, 0.232)
Dy (0.750, 0.750, 0.768)
Mn (0.250, 0.750, 0.000)
Mn (0.750, 0.250, 0.000)
Zn (0.250, 0.750, 0.500)
Zn (0.750, 0.250, 0.500)
C (0.250, 0.250, 0.889)
C (0.750, 0.750, 0.111)

Output
DFT formation energy = -13 kJ per mole of atoms
space group = P4/nmm
total moment = 1.142 μB per formula unit
total energy = -49.7 eV/cell

=====

Entry 12:
Below is Dy3MoC3 after structural relaxation, with properties calculated at the PBE-GGA level.

Cell lengths 6.873, 6.873, 5.156 Å; angles 90.00, 90.00, 99.95 degrees
Element x y z (fractional)
Dy (0.110, 0.890, 0.750)
Dy (0.166, 0.400, 0.750)
Dy (0.400, 0.166, 0.250)
Dy (0.600, 0.834, 0.750)
Dy (0.834, 0.600, 0.250)
Dy (0.890, 0.110, 0.250)
Mo (0.310, 0.690, 0.250)
Mo (0.690, 0.310, 0.750)
C (0.123, 0.877, 0.250)
C (0.172, 0.412, 0.250)
C (0.412, 0.172, 0.750)
C (0.588, 0.828, 0.250)
C (0.828, 0.588, 0.750)
C (0.877, 0.123, 0.750)

Output
DFT formation energy = -31 kJ per mole of atoms
space group = Cmcm
total moment = 0.000 μB per formula unit
total energy = -109.1 eV/cell

=====

Entry 13:
Below is DyMo2C2 after structural relaxation, with properties calculated at the PBE-GGA level.

Cell lengths 6.372, 5.799, 5.670 Å; angles 67.49, 57.22, 55.29 degrees
Element x y z (fractional)
Dy (0.125, 0.125, 0.125)
Dy (0.875, 0.875, 0.875)
Mo (0.234, 0.234, 0.516)
Mo (0.484, 0.484, 0.766)
Mo (0.516, 0.516, 0.234)
Mo (0.766, 0.766, 0.484)
C (0.166, 0.584, 0.166)
C (0.416, 0.834, 0.416)
C (0.584, 0.166, 0.584)
C (0.834, 0.416, 0.834)

Output
DFT formation energy = -9 kJ per mole of atoms
space group = Fddd
total moment = 0.000 μB per formula unit
total energy = -90.3 eV/cell

=====

Entry 14:
Below is DyPa2MoC4 after structural relaxation, with properties calculated at the PBE-GGA level.

Cell lengths 6.216, 6.216, 11.853 Å; angles 90.00, 90.00, 146.01 degrees
Element x y z (fractional)
Dy (0.131, 0.869, 0.750)
Dy (0.869, 0.131, 0.250)
Pa (0.369, 0.631, 0.541)
Pa (0.369, 0.631, 0.959)
Pa (0.631, 0.369, 0.041)
Pa (0.631, 0.369, 0.459)
Mo (0.134, 0.866, 0.250)
Mo (0.866, 0.134, 0.750)
C (0.000, 0.000, 0.000)
C (0.000, 0.000, 0.500)
C (0.258, 0.742, 0.126)
C (0.258, 0.742, 0.374)
C (0.444, 0.556, 0.750)
C (0.556, 0.444, 0.250)
C (0.742, 0.258, 0.626)
C (0.742, 0.258, 0.874)

Output
DFT formation energy = -11 kJ per mole of atoms
space group = Cmcm
total moment = 0.000 μB per formula unit
total energy = -144.4 eV/cell

=====

Entry 15:
Below is DyTh2MoC4 after structural relaxation, with properties calculated at the PBE-GGA level.

Cell lengths 6.322, 6.322, 12.929 Å; angles 90.00, 90.00, 146.86 degrees
Element x y z (fractional)
Dy (0.109, 0.891, 0.750)
Dy (0.891, 0.109, 0.250)
Th (0.367, 0.633, 0.539)
Th (0.367, 0.633, 0.961)
Th (0.633, 0.367, 0.039)
Th (0.633, 0.367, 0.461)
Mo (0.164, 0.836, 0.250)
Mo (0.836, 0.164, 0.750)
C (0.000, 0.000, 0.000)
C (0.000, 0.000, 0.500)
C (0.268, 0.732, 0.136)
C (0.268, 0.732, 0.364)
C (0.426, 0.574, 0.750)
C (0.574, 0.426, 0.250)
C (0.732, 0.268, 0.636)
C (0.732, 0.268, 0.864)

Output
DFT formation energy = -1 kJ per mole of atoms
space group = Cmcm
total moment = 0.000 μB per formula unit
total energy = -134.5 eV/cell

=====

Entry 16:
Below is DyCN2 after structural relaxation, with properties calculated at the PBE-GGA level.

Cell lengths 3.660, 5.016, 5.759 Å; angles 90.00, 90.00, 90.00 degrees
Element x y z (fractional)
Dy (0.000, 0.248, 0.000)
Dy (0.500, 0.752, 0.500)
C (0.000, 0.211, 0.552)
C (0.500, 0.789, 0.052)
N (0.000, 0.033, 0.389)
N (0.000, 0.458, 0.613)
N (0.500, 0.542, 0.113)
N (0.500, 0.967, 0.889)

Output
raw formation energy = -629 meV per atom
space group = Pmn2_1
total moment = 0.000 μB per formula unit
total energy = -66.0 eV/cell

=====

Entry 17:
Below is DyCN after structural relaxation, with properties calculated at the PBE-GGA level.

Cell lengths 3.954, 3.954, 3.954 Å; angles 125.98, 125.98, 79.93 degrees
Element x y z (fractional)
Dy (0.000, 0.000, 0.000)
C (0.396, 0.396, 0.000)
N (0.608, 0.608, 0.000)

Output
energy relative to the lowest polymorph listed for this composition = 8.9 kJ/mol of formula units
raw formation energy = -530 meV per atom
space group = I4mm
total moment = 0.000 μB per formula unit
total energy = -23.7 eV/cell

=====

Entry 18:
Below is DyCN3 after structural relaxation, with properties calculated at the PBE-GGA level.

Cell lengths 6.339, 6.339, 5.673 Å; angles 90.00, 90.00, 148.13 degrees
Element x y z (fractional)
Dy (0.152, 0.848, 0.750)
Dy (0.848, 0.152, 0.250)
C (0.413, 0.587, 0.750)
C (0.587, 0.413, 0.250)
N (0.347, 0.653, 0.562)
N (0.347, 0.653, 0.938)
N (0.477, 0.523, 0.250)
N (0.523, 0.477, 0.750)
N (0.653, 0.347, 0.062)
N (0.653, 0.347, 0.438)

Output
raw formation energy = -203 meV per atom
space group = Cmcm
total moment = 0.000 μB per formula unit
total energy = -79.6 eV/cell

=====

Entry 19:
Below is Dy4CN3 after structural relaxation, with properties calculated at the PBE-GGA level.

Cell lengths 4.954, 4.954, 4.954 Å; angles 90.00, 90.00, 90.00 degrees
Element x y z (fractional)
Dy (0.000, 0.000, 0.000)
Dy (0.000, 0.500, 0.500)
Dy (0.500, 0.000, 0.500)
Dy (0.500, 0.500, 0.000)
C (0.500, 0.500, 0.500)
N (0.000, 0.000, 0.500)
N (0.000, 0.500, 0.000)
N (0.500, 0.000, 0.000)

Output
raw formation energy = -1248 meV per atom
space group = Pm-3m
total moment = 0.001 μB per formula unit
total energy = -62.6 eV/cell

=====

Entry 20:
Below is DyCN3 after structural relaxation, with properties calculated at the PBE-GGA level.

Cell lengths 3.808, 5.325, 6.317 Å; angles 90.00, 100.70, 90.00 degrees
Element x y z (fractional)
Dy (0.173, 0.250, 0.302)
Dy (0.827, 0.750, 0.698)
C (0.281, 0.250, 0.763)
C (0.719, 0.750, 0.237)
N (0.122, 0.250, 0.932)
N (0.337, 0.026, 0.678)
N (0.337, 0.474, 0.678)
N (0.663, 0.526, 0.322)
N (0.663, 0.974, 0.322)
N (0.878, 0.750, 0.068)

Output
raw formation energy = -238 meV per atom
space group = P2_1/m
total moment = 0.000 μB per formula unit
total energy = -80.0 eV/cell